VASP calculation (PBE with a Hubbard U) on CrIOF2 after structural relaxation.

Cell and atoms, written as POSCAR:
```
CrIOF2
1.0
4.9122 0.0000 0.0000
0.0000 4.9122 0.0000
0.0000 0.0000 4.0519
Cr I O F
1 1 1 2
direct
0.0000 0.0000 0.0000 Cr
0.5000 0.5000 0.5000 I
0.5000 0.5000 0.0000 O
0.0000 0.5000 0.5000 F
0.5000 0.0000 0.5000 F
```

Summary:
VASP energy   -3.9865 eV per atom
Fermi-level density of states   0.44 states/eV per atom
Total magnetization   1.00 μB/atom